1:
TcPd2Ru2 after structural relaxation. Source: Alexandria, functional GGA-PBE.

Cell lengths 7.3879, 7.3879, 2.7825 Å; angles 90.00, 90.00, 90.00 degrees
Positions (direct):
1 Tc 0.0000 0.0000 0.0000
2 Tc 0.5000 0.5000 0.0000
3 Pd 0.1260 0.3740 0.0000
4 Pd 0.3740 0.8740 0.0000
5 Pd 0.6260 0.1260 0.0000
6 Pd 0.8740 0.6260 0.0000
7 Ru 0.1732 0.6732 0.5000
8 Ru 0.3268 0.1732 0.5000
9 Ru 0.6732 0.8268 0.5000
10 Ru 0.8268 0.3268 0.5000

Computed properties:
symmetry = P4/mbm

---

2:
TcPd2Ru2 after structural relaxation. Source: Alexandria, functional GGA-PBE.

Cell lengths 7.1803, 7.1803, 7.1803 Å; angles 151.94, 151.94, 40.10 degrees
Positions (direct):
1 Tc 0.0000 0.0000 0.0000
2 Pd 0.4030 0.4030 0.0000
3 Pd 0.5970 0.5970 0.0000
4 Ru 0.2500 0.7500 0.5000
5 Ru 0.7500 0.2500 0.5000

Computed properties:
symmetry = I4/mmm

---

The least stable of the structures above is 2, whereas 1 is the most stable.